No. 1
## Tl3Fe (PBE)

Data for a relaxed Tl3Fe crystal.

Results
M_tot ... 5.14 μB per cell
DFT total energy ... -28.47 eV for the cell shown
Formation energy from the elements ... 0.332 eV per atom

Unit cell a=7.794 b=7.794 c=3.514 alpha=90.00 beta=90.00 gamma=101.32
Sites, in units of the cell vectors:
Tl: 0.130 0.870 0.750
Tl: 0.161 0.422 0.750
Tl: 0.422 0.161 0.250
Tl: 0.578 0.839 0.750
Tl: 0.839 0.578 0.250
Tl: 0.870 0.130 0.250
Fe: 0.436 0.564 0.250
Fe: 0.564 0.436 0.750

No. 2
## Ho6Si2SbSe3 (PBE)

Data for a relaxed Ho6Si2SbSe3 crystal.

Results
M_tot ... 0.00 μB per cell
DFT total energy ... -69.09 eV for the cell shown
Formation energy (no corrections) ... -1.350 eV/atom

Unit cell a=9.258 b=9.258 c=8.320 alpha=102.68 beta=102.68 gamma=25.84
Sites, in units of the cell vectors:
Ho: 0.007 0.007 0.261
Ho: 0.329 0.329 0.424
Ho: 0.329 0.329 0.898
Ho: 0.671 0.671 0.102
Ho: 0.671 0.671 0.576
Ho: 0.993 0.993 0.739
Si: 0.167 0.167 0.336
Si: 0.833 0.833 0.664
Sb: 0.500 0.500 0.000
Se: 0.164 0.164 0.834
Se: 0.500 0.500 0.500
Se: 0.836 0.836 0.166